Computed, not measured: a geometry-optimized NbCrO4 structure at the GGA+U level of DFT.

Properties
- Total energy: -8.52 eV per atom

Cell: 6.607 6.607 7.863 Å, 72.80 72.80 84.98°
Site moments in Bohr magnetons follow the coordinates.
Sites, in units of the cell vectors:
O (0.508, 0.184, 0.074)  -0.02
O (0.492, 0.816, 0.926)  -0.02
O (0.184, 0.508, 0.074)  -0.02
O (0.507, 0.816, 0.415)  -0.03
O (0.144, 0.846, 0.256)  -0.03
O (0.847, 0.847, 0.581)  0.00
O (0.184, 0.493, 0.585)  -0.03
O (0.493, 0.184, 0.585)  -0.03
O (0.816, 0.507, 0.415)  -0.03
O (0.854, 0.854, 0.069)  -0.05
O (0.856, 0.154, 0.744)  -0.03
O (0.153, 0.153, 0.419)  0.00
O (0.146, 0.146, 0.931)  -0.05
O (0.816, 0.492, 0.926)  -0.02
O (0.154, 0.856, 0.744)  -0.03
O (0.846, 0.144, 0.256)  -0.03
Nb (0.222, 0.778, 0.500)  0.07
Nb (0.777, 0.777, 0.859)  0.07
Nb (0.223, 0.223, 0.141)  0.07
Nb (0.778, 0.222, 0.500)  0.07
Cr (0.817, 0.183, 0.000)  2.95
Cr (0.183, 0.183, 0.656)  2.93
Cr (0.183, 0.817, 0.000)  2.95
Cr (0.817, 0.817, 0.344)  2.93